This record from Alexandria describes crystalline Pa2FeO8 at its relaxed geometry. The functional is PBE+U.

Crystal system: monoclinic
N(E_F), states/eV/atom: 0.2877
Calculated total energy, eV/cell: -87.63

Lattice parameters (Å, degrees): 4.797 5.993 5.993 112.16 104.07 104.07
Last column: magnetic moment on the atom in μB.
Fractional coordinates of all 11 atoms:
O  0.660  0.088  0.388  0.20
O  0.768  0.693  0.693  0.14
O  0.340  0.612  0.912  0.20
O  0.660  0.388  0.088  0.20
O  0.000  0.812  0.188  0.41
O  0.232  0.307  0.307  0.14
O  0.340  0.912  0.612  0.20
O  0.000  0.188  0.812  0.41
Pa  0.500  0.307  0.693  -0.01
Pa  0.500  0.693  0.307  -0.01
Fe  0.000  0.000  0.000  3.79